[1]
# Er4Al GGA-PBE optimized geometry
data_Er4Al
_chemical_formula_sum 'Er8 Al2'
_space_group_name_H-M_alt 'I 4/m m m'
_space_group_IT_number 139
_space_group_name_Hall '-I 4 2'
_cell_length_a 3.4834
_cell_length_b 3.4834
_cell_length_c 22.8039
_cell_angle_alpha 90.00
_cell_angle_beta 90.00
_cell_angle_gamma 90.00
loop_
_atom_site_label
_atom_site_fract_x
_atom_site_fract_y
_atom_site_fract_z
_atom_site_occupancy
Er1 0.0000 0.0000 0.0842 1
Er2 0.0000 0.0000 0.3040 1
Al1 0.0000 0.0000 0.5000 1
# Formation energy from the elements ... -73.3 kJ/mol of formula units
# DOS(E_F) ... 5.09 states/eV/f.u.
# Spin magnetization ... 0.0 μB/cell
# ΔE to the lowest computed polymorph ... 0.0 kJ per mole of atoms
# Calculated volume ... 27.671 Å³/atom

[2]
# SiSb2Te GGA-PBE optimized geometry
data_SiSb2Te
_chemical_formula_sum 'Si2 Sb4 Te2'
_space_group_name_H-M_alt 'C m m m'
_space_group_IT_number 65
_space_group_name_Hall '-C 2 2'
_cell_length_a 3.7461
_cell_length_b 5.0427
_cell_length_c 10.8244
_cell_angle_alpha 90.00
_cell_angle_beta 90.00
_cell_angle_gamma 90.00
loop_
_atom_site_label
_atom_site_fract_x
_atom_site_fract_y
_atom_site_fract_z
_atom_site_occupancy
Si1 0.0000 0.0000 0.0000 1
Sb1 0.0000 0.5000 0.2059 1
Te1 0.0000 0.0000 0.5000 1
# DOS(E_F) ... 2.19 states/eV/f.u.
# Spin magnetization ... 0.0 μB/cell
# ΔE to the lowest computed polymorph ... 28.4 kJ per mole of atoms
# Calculated volume ... 25.560 Å³/atom
# Energy relative to the elements, uncorrected ... 0.3784 eV per atom

[3]
# Be2PdAu2 GGA-PBE optimized geometry
data_Be2PdAu2
_chemical_formula_sum 'Be4 Pd2 Au4'
_space_group_name_H-M_alt 'I 4/m m m'
_space_group_IT_number 139
_space_group_name_Hall '-I 4 2'
_cell_length_a 3.9040
_cell_length_b 3.9040
_cell_length_c 9.5154
_cell_angle_alpha 90.00
_cell_angle_beta 90.00
_cell_angle_gamma 90.00
loop_
_atom_site_label
_atom_site_fract_x
_atom_site_fract_y
_atom_site_fract_z
_atom_site_occupancy
Be1 0.0000 0.0000 0.1101 1
Pd1 0.0000 0.0000 0.5000 1
Au1 0.0000 0.5000 0.2500 1
# Formation energy from the elements ... -4.8 kJ/mol of formula units
# DOS(E_F) ... 0.85 states/eV/f.u.
# Spin magnetization ... 0.0 μB/cell
# ΔE to the lowest computed polymorph ... 23.6 kJ per mole of atoms
# Calculated volume ... 14.503 Å³/atom

[4]
# AlTcP GGA-PBE optimized geometry
data_AlTcP
_chemical_formula_sum 'Al4 Tc4 P4'
_space_group_name_H-M_alt 'C 1 2/m 1'
_space_group_IT_number 12
_space_group_name_Hall '-C 2y'
_cell_length_a 11.0204
_cell_length_b 3.0511
_cell_length_c 6.0455
_cell_angle_alpha 90.00
_cell_angle_beta 111.80
_cell_angle_gamma 90.00
loop_
_atom_site_label
_atom_site_fract_x
_atom_site_fract_y
_atom_site_fract_z
_atom_site_occupancy
Al1 0.0709 0.0000 0.2672 1
Tc1 0.1370 0.5000 0.9746 1
P1 0.1633 0.0000 0.6948 1
# Formation energy from the elements ... -148.7 kJ/mol of formula units
# DOS(E_F) ... 1.10 states/eV/f.u.
# Spin magnetization ... 0.0 μB/cell
# ΔE to the lowest computed polymorph ... 0.0 kJ per mole of atoms
# Calculated volume ... 15.728 Å³/atom

[5]
# Rb2MgBe2Se4 GGA-PBE optimized geometry
data_Rb2MgBe2Se4
_chemical_formula_sum 'Rb4 Mg2 Be4 Se8'
_space_group_name_H-M_alt 'C 1 2/m 1'
_space_group_IT_number 12
_space_group_name_Hall '-C 2y'
_cell_length_a 15.2554
_cell_length_b 3.8712
_cell_length_c 7.9298
_cell_angle_alpha 90.00
_cell_angle_beta 108.49
_cell_angle_gamma 90.00
loop_
_atom_site_label
_atom_site_fract_x
_atom_site_fract_y
_atom_site_fract_z
_atom_site_occupancy
Rb1 0.1272 0.0000 0.0337 1
Mg1 0.0000 0.0000 0.5000 1
Be1 0.1751 0.5000 0.4761 1
Se1 0.0319 0.5000 0.2908 1
Se2 0.2069 0.0000 0.6520 1
# DOS(E_F) ... 0.00 states/eV/f.u.
# Spin magnetization ... 0.0 μB/cell
# Calculated volume ... 24.674 Å³/atom
# Energy relative to the elements, uncorrected ... -1.0273 eV per atom

[6]
# NaTmCdGe GGA-PBE optimized geometry
data_NaTmCdGe
_chemical_formula_sum 'Na4 Tm4 Cd4 Ge4'
_space_group_name_H-M_alt 'F -4 3 m'
_space_group_IT_number 216
_space_group_name_Hall 'F -4 2 3'
_cell_length_a 7.1637
_cell_length_b 7.1637
_cell_length_c 7.1637
_cell_angle_alpha 90.00
_cell_angle_beta 90.00
_cell_angle_gamma 90.00
loop_
_atom_site_label
_atom_site_fract_x
_atom_site_fract_y
_atom_site_fract_z
_atom_site_occupancy
Na1 0.0000 0.0000 0.0000 1
Tm1 0.0000 0.0000 0.5000 1
Cd1 0.2500 0.2500 0.2500 1
Ge1 0.2500 0.2500 0.7500 1
# Formation energy from the elements ... -104.3 kJ/mol of formula units
# DOS(E_F) ... 1.41 states/eV/f.u.
# Spin magnetization ... 0.0 μB/cell
# Calculated volume ... 22.977 Å³/atom

[7]
# KNbZn3 GGA-PBE optimized geometry
data_KNbZn3
_chemical_formula_sum 'K1 Nb1 Zn3'
_space_group_name_H-M_alt 'P m -3 m'
_space_group_IT_number 221
_space_group_name_Hall '-P 4 2 3'
_cell_length_a 4.9351
_cell_length_b 4.9351
_cell_length_c 4.9351
_cell_angle_alpha 90.00
_cell_angle_beta 90.00
_cell_angle_gamma 90.00
loop_
_atom_site_label
_atom_site_fract_x
_atom_site_fract_y
_atom_site_fract_z
_atom_site_occupancy
K1 0.0000 0.0000 0.0000 1
Nb1 0.5000 0.5000 0.5000 1
Zn1 0.0000 0.0000 0.5000 1
# Formation energy from the elements ... 827.8 kJ/mol of formula units
# DOS(E_F) ... 2.23 states/eV/f.u.
# Spin magnetization ... 0.0 μB/cell
# ΔE to the lowest computed polymorph ... 106.4 kJ per mole of atoms
# Calculated volume ... 24.039 Å³/atom

[8]
# K5BaTaP4 GGA-PBE optimized geometry
data_K5BaTaP4
_chemical_formula_sum 'K20 Ba4 Ta4 P16'
_space_group_name_H-M_alt 'C 1 c 1'
_space_group_IT_number 9
_space_group_name_Hall 'C -2yc'
_cell_length_a 10.1830
_cell_length_b 17.7448
_cell_length_c 7.9965
_cell_angle_alpha 90.00
_cell_angle_beta 91.61
_cell_angle_gamma 90.00
loop_
_atom_site_label
_atom_site_fract_x
_atom_site_fract_y
_atom_site_fract_z
_atom_site_occupancy
K1 0.0000 0.0306 0.0000 1
K2 0.0075 0.3614 0.3272 1
K3 0.2282 0.4299 0.7979 1
K4 0.2889 0.0694 0.3428 1
K5 0.2979 0.2663 0.5008 1
Ba1 0.2014 0.2340 0.0088 1
Ta1 0.0047 0.1673 0.6082 1
P1 0.0010 0.2966 0.7108 1
P2 0.0104 0.1718 0.3065 1
P3 0.1980 0.1046 0.7216 1
P4 0.3047 0.3954 0.1888 1
# Formation energy from the elements ... -646.7 kJ/mol of formula units
# Spin magnetization ... 0.0 μB/cell
# Calculated volume ... 32.827 Å³/atom

[9]
# RbNa GGA-PBE optimized geometry
data_RbNa
_chemical_formula_sum 'Rb4 Na4'
_space_group_name_H-M_alt 'F m -3 m'
_space_group_IT_number 225
_space_group_name_Hall '-F 4 2 3'
_cell_length_a 8.2418
_cell_length_b 8.2418
_cell_length_c 8.2418
_cell_angle_alpha 90.00
_cell_angle_beta 90.00
_cell_angle_gamma 90.00
loop_
_atom_site_label
_atom_site_fract_x
_atom_site_fract_y
_atom_site_fract_z
_atom_site_occupancy
Rb1 0.0000 0.0000 0.0000 1
Na1 0.0000 0.0000 0.5000 1
# Formation energy from the elements ... 25.3 kJ/mol of formula units
# DOS(E_F) ... 1.63 states/eV/f.u.
# Spin magnetization ... 0.0 μB/cell
# Calculated volume ... 69.980 Å³/atom

[10]
# LiPaTl2 GGA-PBE optimized geometry
data_LiPaTl2
_chemical_formula_sum 'Li4 Pa4 Tl8'
_space_group_name_H-M_alt 'F m -3 m'
_space_group_IT_number 225
_space_group_name_Hall '-F 4 2 3'
_cell_length_a 7.3759
_cell_length_b 7.3759
_cell_length_c 7.3759
_cell_angle_alpha 90.00
_cell_angle_beta 90.00
_cell_angle_gamma 90.00
loop_
_atom_site_label
_atom_site_fract_x
_atom_site_fract_y
_atom_site_fract_z
_atom_site_occupancy
Li1 0.0000 0.0000 0.0000 1
Pa1 0.0000 0.0000 0.5000 1
Tl1 0.2500 0.2500 0.2500 1
# Formation energy from the elements ... 44.8 kJ/mol of formula units
# DOS(E_F) ... 4.73 states/eV/f.u.
# Spin magnetization ... 5.4 μB/cell
# ΔE to the lowest computed polymorph ... 9.9 kJ per mole of atoms
# Calculated volume ... 25.080 Å³/atom

[11]
# CeTmTlOs GGA-PBE optimized geometry
data_CeTmTlOs
_chemical_formula_sum 'Ce1 Tm1 Tl1 Os1'
_space_group_name_H-M_alt 'P 4 m m'
_space_group_IT_number 99
_space_group_name_Hall 'P 4 -2'
_cell_length_a 3.3600
_cell_length_b 3.3600
_cell_length_c 8.4328
_cell_angle_alpha 90.00
_cell_angle_beta 90.00
_cell_angle_gamma 90.00
loop_
_atom_site_label
_atom_site_fract_x
_atom_site_fract_y
_atom_site_fract_z
_atom_site_occupancy
Ce1 0.0000 0.0000 0.0000 1
Tm1 0.0000 0.0000 0.5920 1
Tl1 0.5000 0.5000 0.3052 1
Os1 0.5000 0.5000 0.7908 1
# Formation energy from the elements ... -125.5 kJ/mol of formula units
# DOS(E_F) ... 3.36 states/eV/f.u.
# Spin magnetization ... 0.3 μB/cell
# ΔE to the lowest computed polymorph ... 0.0 kJ per mole of atoms
# Calculated volume ... 23.801 Å³/atom

[12]
# NaScBi2O8 GGA-PBE optimized geometry
data_NaScBi2O8
_chemical_formula_sum 'Na1 Sc1 Bi2 O8'
_space_group_name_H-M_alt 'P -3'
_space_group_IT_number 147
_space_group_name_Hall '-P 3'
_cell_length_a 5.8099
_cell_length_b 5.8099
_cell_length_c 6.6985
_cell_angle_alpha 90.00
_cell_angle_beta 90.00
_cell_angle_gamma 120.00
loop_
_atom_site_label
_atom_site_fract_x
_atom_site_fract_y
_atom_site_fract_z
_atom_site_occupancy
Na1 0.0000 0.0000 0.0000 1
Sc1 0.0000 0.0000 0.5000 1
Bi1 0.3333 0.6667 0.4346 1
O1 0.0500 0.3506 0.6411 1
O2 0.3333 0.6667 0.1180 1
# DOS(E_F) ... 9.86 states/eV/f.u.
# Spin magnetization ... 2.0 μB/cell
# Calculated volume ... 16.318 Å³/atom
# Energy relative to the elements, uncorrected ... -0.9822 eV per atom